[1]
Er2CoNi (PBE, relaxed); energy relative to the elements = -1.40 eV per formula unit; electronic total energy = -23.41 eV/cell; space-group type = No. 38; spin magnetization = 0.000 μB/cell
1.0
3.9365 0.0000 0.0000
0.0000 1.8963 5.1606
0.0000 -1.8963 5.1606
Er Co Ni
2 1 1
Cartesian
0.0000 0.0000 0.0000
1.9682 0.0000 2.9373
1.9682 0.0000 5.9089
0.0000 0.0000 7.3306



[2]
Tc2SbTe (PBE, relaxed); energy above the lowest structure with this stoichiometry = 0.608 eV per atom; electronic total energy = -25.12 eV/cell; ΔE_f (raw) = 0.7182 eV per atom; space-group type = No. 65; spin magnetization = 0.000 μB/cell
1.0
1.6330 -2.7452 0.0000
1.6330 2.7452 0.0000
0.0000 0.0000 8.5709
Tc Sb Te
2 1 1
Cartesian
0.0000 0.0000 2.1007
0.0000 0.0000 6.4702
1.6330 0.0000 0.0000
1.6330 0.0000 4.2854



Listing mass density for the structures above in their given order: 9.745 9.623 Mg/m³.